## Ho2Tl2MoO6 (PBE+U)

Data for a relaxed structure of Ho2Tl2MoO6.

a = 5.821 Å, b = 5.821 Å, c = 6.816 Å
α = 98.17°, β = 98.17°, γ = 119.24°
Element x y z (fractional)
O  0.051  0.361  0.660
O  0.949  0.639  0.340
O  0.261  0.261  0.328
O  0.361  0.051  0.660
O  0.639  0.949  0.340
O  0.739  0.739  0.672
Ho  0.665  0.335  0.500
Ho  0.335  0.665  0.500
Mo  0.000  0.000  0.500
Tl  0.164  0.836  0.000
Tl  0.836  0.164  0.000

Values from the calculation:
Energy, eV per atom: -6.80